(1)
# BaLiSi

A geometry-optimized BaLiSi structure (PBE, the Alexandria database).

Cell lengths 23.020, 8.549, 8.549 Å; angles 121.94, 148.37, 31.63 degrees
Atoms (fractional coordinates):
Si 0.765 0.609 0.138
Si 0.265 0.362 0.891
Si 0.719 0.677 0.568
Si 0.219 0.932 0.823
Ba 0.217 0.682 0.339
Ba 0.717 0.161 0.818
Ba 0.227 0.169 0.322
Ba 0.727 0.178 0.331
Li 0.997 0.426 0.337
Li 0.497 0.163 0.074
Li 0.495 0.865 0.399
Li 0.995 0.101 0.635

* calculated density: 3.5 g/cm3
* E_form (uncorrected): -0.1043 eV/atom

(2)
# BaLiSi

A geometry-optimized BaLiSi structure (PBE, the Alexandria database).

Cell lengths 5.230, 5.230, 5.230 Å; angles 60.00, 60.00, 60.00 degrees
Atoms (fractional coordinates):
Si 0.750 0.750 0.750
Ba 0.000 0.000 0.000
Li 0.250 0.250 0.250

* calculated density: 2.8 g/cm3
* E_form (uncorrected): 0.4360 eV/atom

(3)
# BaLi2Si

A geometry-optimized BaLi2Si structure (PBE, the Alexandria database).

Cell lengths 5.180, 5.180, 9.294 Å; angles 73.82, 73.82, 90.00 degrees
Atoms (fractional coordinates):
Si 0.500 0.500 0.000
Si 0.250 0.750 0.500
Ba 0.000 0.000 0.000
Ba 0.750 0.250 0.500
Li 0.376 0.125 0.250
Li 0.374 0.625 0.250
Li 0.375 0.624 0.750
Li 0.875 0.626 0.750

* calculated density: 2.6 g/cm3
* E_form (uncorrected): -0.0731 eV/atom

(4)
# BaLiSi2

A geometry-optimized BaLiSi2 structure (PBE, the Alexandria database).

Cell lengths 7.046, 6.708, 9.811 Å; angles 90.00, 121.97, 90.00 degrees
Atoms (fractional coordinates):
Ba 0.233 0.000 0.305
Ba 0.767 0.000 0.695
Ba 0.233 0.500 0.805
Ba 0.767 0.500 0.195
Li 0.305 0.000 0.003
Li 0.695 0.000 0.997
Li 0.305 0.500 0.503
Li 0.695 0.500 0.497
Si 0.730 0.000 0.291
Si 0.270 0.000 0.709
Si 0.730 0.500 0.791
Si 0.270 0.500 0.209
Si 0.000 0.289 0.000
Si 0.000 0.711 0.000
Si 0.000 0.789 0.500
Si 0.000 0.211 0.500

* calculated density: 3.4 g/cm3
* E_form (uncorrected): -0.2567 eV/atom

(5)
# BaLiSi2

A geometry-optimized BaLiSi2 structure (PBE, the Alexandria database).

Cell lengths 6.696, 6.696, 6.696 Å; angles 146.74, 141.20, 52.01 degrees
Atoms (fractional coordinates):
Si 0.899 0.899 0.000
Si 0.780 0.280 0.500
Ba 0.537 0.537 0.000
Li 0.284 0.784 0.500

* calculated density: 3.2 g/cm3
* E_form (uncorrected): -0.2794 eV/atom

(6)
# BaLiSi

A geometry-optimized BaLiSi structure (PBE, the Alexandria database).

Cell lengths 5.552, 5.552, 5.552 Å; angles 141.92, 127.07, 67.05 degrees
Atoms (fractional coordinates):
Ba 0.008 0.008 0.000
Li 0.334 0.334 0.000
Si 0.658 0.658 0.000

* calculated density: 3.4 g/cm3
* E_form (uncorrected): 0.0243 eV/atom

(7)
# BaLi2Si

A geometry-optimized BaLi2Si structure (PBE, the Alexandria database).

Cell lengths 3.664, 3.664, 7.364 Å; angles 90.00, 90.00, 90.00 degrees
Atoms (fractional coordinates):
Ba 0.500 0.500 0.750
Li 0.000 0.000 0.085
Li 0.000 0.000 0.415
Si 0.500 0.500 0.250

* calculated density: 3.0 g/cm3
* E_form (uncorrected): 0.1139 eV/atom

(8)
# BaLiSi

A geometry-optimized BaLiSi structure (PBE, the Alexandria database).

Cell lengths 5.232, 5.232, 5.232 Å; angles 60.00, 60.00, 60.00 degrees
Site moments in Bohr magnetons follow the coordinates.
Atoms (fractional coordinates):
Ba 0.000 0.000 0.000  0.08
Li 0.500 0.500 0.500  0.02
Si 0.750 0.750 0.750  0.23

* calculated density: 2.8 g/cm3
* E_form (uncorrected): 0.0105 eV/atom

What is the calculated density in the first record?
3.5 g/cm3

Which value of calculated density does entry 6 give?
3.4 g/cm3

What is the formula in the first record?
BaLiSi